[1]
LaTl4Cr | PBE | optimized geometry

The structure in POSCAR format:
```
LaTl4Cr
1.0
0.000 4.436 4.436
4.436 0.000 4.436
4.436 4.436 0.000
La Tl Cr
1 4 1
Direct
0.000 0.000 0.000 La
0.375 0.375 0.874 Tl
0.874 0.375 0.375 Tl
0.375 0.375 0.375 Tl
0.375 0.874 0.375 Tl
0.750 0.750 0.750 Cr
```

Values from the calculation:
total energy	-3.70	eV/atom
Fermi-level density of states	4.50	states/eV/f.u.
V	174.56	Å³/f.u.
symmetry	F-43m
M_tot	4.242	μB/cell

---

[2]
LaTlCr2 | PBE | optimized geometry

The structure in POSCAR format:
```
LaTlCr2
1.0
5.131 -0.013 0.053
3.910 3.323 0.053
2.503 0.916 5.373
Tl Cr La
1 2 1
Direct
0.250 0.250 0.250 Tl
0.497 0.497 0.361 Cr
0.003 0.003 0.139 Cr
0.750 0.750 0.750 La
```

Values from the calculation:
total energy	-6.07	eV/atom
Fermi-level density of states	4.96	states/eV/f.u.
V	91.38	Å³/f.u.
symmetry	C2/m
M_tot	0.001	μB/cell

---

[3]
LaTlCr2 | PBE | optimized geometry

The structure in POSCAR format:
```
LaTlCr2
1.0
9.891 0.231 0.137
9.238 3.541 0.137
9.238 1.822 3.040
Cr La Tl
2 1 1
Direct
0.494 0.494 0.494 Cr
0.006 0.006 0.006 Cr
0.250 0.250 0.250 La
0.750 0.750 0.750 Tl
```

Values from the calculation:
total energy	-5.86	eV/atom
Fermi-level density of states	3.65	states/eV/f.u.
V	95.63	Å³/f.u.
symmetry	R-3m
M_tot	7.453	μB/cell

---

[4]
LaTlCr2 | PBE | optimized geometry

The structure in POSCAR format:
```
LaTlCr2
1.0
7.568 0.000 0.000
0.000 7.568 0.000
3.784 3.784 3.025
La Cr Tl
2 4 2
Direct
0.250 0.750 0.500 La
0.500 0.500 0.000 La
0.642 0.125 0.250 Cr
0.875 0.892 0.750 Cr
0.375 0.358 0.750 Cr
0.108 0.625 0.250 Cr
0.750 0.250 0.500 Tl
0.000 0.000 0.000 Tl
```

Values from the calculation:
total energy	-5.29	eV/atom
Fermi-level density of states	7.42	states/eV/f.u.
V	86.63	Å³/f.u.
symmetry	I-42d
M_tot	0.370	μB/cell

---

[5]
LaTlCr2 | PBE | optimized geometry

The structure in POSCAR format:
```
LaTlCr2
1.0
-2.991 1.008 -0.710
-1.152 -1.598 2.584
-0.035 4.900 7.107
La Cr Tl
1 2 1
Direct
0.000 0.529 0.471 La
0.000 0.948 0.052 Cr
0.500 0.323 0.177 Cr
0.500 0.700 0.800 Tl
```

Values from the calculation:
total energy	-6.38	eV/atom
Fermi-level density of states	2.70	states/eV/f.u.
V	84.04	Å³/f.u.
symmetry	Pmm2
M_tot	0.386	μB/cell

---

[6]
LaTlCr2 | PBE | optimized geometry

The structure in POSCAR format:
```
LaTlCr2
1.0
-0.434 -1.518 4.832
-0.106 3.437 3.744
-4.314 0.846 2.552
La Tl Cr
1 1 2
Direct
0.000 0.000 0.000 La
0.500 0.500 0.500 Tl
0.250 0.250 0.250 Cr
0.750 0.750 0.750 Cr
```

Values from the calculation:
total energy	-6.12	eV/atom
Fermi-level density of states	4.74	states/eV/f.u.
V	92.90	Å³/f.u.
symmetry	Fm-3m
M_tot	8.504	μB/cell

---

[7]
LaTlCr2 | PBE | optimized geometry

The structure in POSCAR format:
```
LaTlCr2
1.0
9.576 -0.039 -0.023
9.027 3.198 -0.023
9.027 1.533 2.807
La Cr Tl
1 2 1
Direct
0.510 0.510 0.510 La
0.266 0.266 0.266 Cr
0.987 0.987 0.987 Cr
0.737 0.737 0.737 Tl
```

Values from the calculation:
total energy	-6.05	eV/atom
Fermi-level density of states	4.21	states/eV/f.u.
V	87.65	Å³/f.u.
symmetry	R3m
M_tot	0.452	μB/cell

---

[8]
La2VCr2 | PBE | optimized geometry

The structure in POSCAR format:
```
La2VCr2
1.0
8.524 0.000 0.000
0.000 8.524 0.000
0.000 0.000 3.385
V La Cr
2 4 4
Direct
0.000 0.000 0.000 V
0.500 0.500 0.000 V
0.835 0.665 0.000 La
0.335 0.835 0.000 La
0.165 0.335 0.000 La
0.665 0.165 0.000 La
0.867 0.367 0.500 Cr
0.633 0.867 0.500 Cr
0.367 0.133 0.500 Cr
0.133 0.633 0.500 Cr
```

Values from the calculation:
total energy	-6.73	eV/atom
Fermi-level density of states	6.82	states/eV/f.u.
V	122.99	Å³/f.u.
symmetry	P4/mbm
M_tot	7.800	μB/cell

---

[9]
La2VCr | PBE | optimized geometry

The structure in POSCAR format:
```
La2VCr
1.0
-2.102 2.596 -7.486
-7.275 -3.700 0.759
-5.896 2.079 -2.112
La V Cr
4 2 2
Direct
0.623 0.125 0.250 La
0.875 0.873 0.750 La
0.127 0.625 0.250 La
0.375 0.377 0.750 La
0.500 0.500 0.000 V
0.250 0.750 0.500 V
0.750 0.250 0.500 Cr
0.000 0.000 0.000 Cr
```

Values from the calculation:
total energy	-6.35	eV/atom
Fermi-level density of states	4.32	states/eV/f.u.
V	105.97	Å³/f.u.
symmetry	I-42d
M_tot	1.026	μB/cell

---

[10]
La2VCr2 | PBE | optimized geometry

The structure in POSCAR format:
```
La2VCr2
1.0
3.230 0.000 0.000
0.000 3.230 0.000
1.615 1.615 10.172
Cr V La
2 1 2
Direct
0.750 0.250 0.500 Cr
0.250 0.750 0.500 Cr
0.000 0.000 0.000 V
0.609 0.609 0.783 La
0.391 0.391 0.217 La
```

Values from the calculation:
total energy	-6.87	eV/atom
Fermi-level density of states	8.08	states/eV/f.u.
V	106.15	Å³/f.u.
symmetry	I4/mmm
M_tot	0.003	μB/cell

---

[11]
LaVCr2 | PBE | optimized geometry

The structure in POSCAR format:
```
LaVCr2
1.0
-2.541 2.654 2.974
-2.772 3.441 -1.682
-4.702 -0.465 0.154
Cr La V
2 1 1
Direct
0.750 0.750 0.750 Cr
0.250 0.250 0.250 Cr
0.500 0.500 0.500 La
0.000 0.000 0.000 V
```

Values from the calculation:
total energy	-7.71	eV/atom
Fermi-level density of states	4.04	states/eV/f.u.
V	74.70	Å³/f.u.
symmetry	Fm-3m
M_tot	3.381	μB/cell

---

[12]
LaV3Cr | PBE | optimized geometry

The structure in POSCAR format:
```
LaV3Cr
1.0
4.564 0.000 0.000
0.000 4.564 0.000
0.000 0.000 4.564
V Cr La
3 1 1
Direct
0.000 0.000 0.500 V
0.500 0.000 0.000 V
0.000 0.500 0.000 V
0.500 0.500 0.500 Cr
0.000 0.000 0.000 La
```

Values from the calculation:
total energy	-6.60	eV/atom
Fermi-level density of states	5.05	states/eV/f.u.
V	95.07	Å³/f.u.
symmetry	Pm-3m
M_tot	4.640	μB/cell

---

[13]
LaVCr2 | PBE | optimized geometry

The structure in POSCAR format:
```
LaVCr2
1.0
-2.565 -0.457 -3.802
-2.408 -3.366 2.030
-7.775 3.622 2.016
Cr La V
4 2 2
Direct
0.375 0.625 0.250 Cr
0.375 0.125 0.250 Cr
0.375 0.625 0.750 Cr
0.875 0.625 0.750 Cr
0.750 0.250 0.500 La
0.000 0.000 0.000 La
0.250 0.750 0.500 V
0.500 0.500 0.000 V
```

Values from the calculation:
total energy	-7.39	eV/atom
Fermi-level density of states	5.80	states/eV/f.u.
V	86.97	Å³/f.u.
symmetry	I4_1/amd
M_tot	3.441	μB/cell

---

[14]
La2VCr | PBE | optimized geometry

The structure in POSCAR format:
```
La2VCr
1.0
1.609 -3.035 4.005
-3.158 -0.779 4.154
-2.212 -4.726 0.783
Cr La V
1 2 1
Direct
0.500 0.500 0.500 Cr
0.250 0.250 0.250 La
0.750 0.750 0.750 La
0.000 0.000 0.000 V
```

Values from the calculation:
total energy	-6.62	eV/atom
Fermi-level density of states	3.59	states/eV/f.u.
V	103.85	Å³/f.u.
symmetry	Fm-3m
M_tot	6.374	μB/cell

---

[15]
LaCr4W | PBE | optimized geometry

The structure in POSCAR format:
```
LaCr4W
1.0
-2.615 3.179 2.955
-2.395 3.970 -2.045
-5.063 0.071 -0.211
Cr W La
4 1 1
Direct
0.878 0.374 0.374 Cr
0.374 0.374 0.878 Cr
0.374 0.374 0.374 Cr
0.374 0.878 0.374 Cr
0.000 0.000 0.000 W
0.750 0.750 0.750 La
```

Values from the calculation:
total energy	-8.83	eV/atom
Fermi-level density of states	6.11	states/eV/f.u.
V	92.03	Å³/f.u.
symmetry	F-43m
M_tot	0.000	μB/cell

---

[16]
LaCrW2 | PBE | optimized geometry

The structure in POSCAR format:
```
LaCrW2
1.0
4.496 -0.058 0.012
3.423 2.915 0.012
0.855 0.308 6.134
W Cr La
2 1 1
Direct
0.753 0.753 0.747 W
0.020 0.020 0.923 W
0.478 0.478 0.575 Cr
0.248 0.248 0.256 La
```

Values from the calculation:
total energy	-9.38	eV/atom
Fermi-level density of states	4.11	states/eV/f.u.
V	81.57	Å³/f.u.
symmetry	Cm
M_tot	1.860	μB/cell

---

[17]
LaCr2W | PBE | optimized geometry

The structure in POSCAR format:
```
LaCr2W
1.0
-1.122 -0.987 -2.429
2.804 0.489 -0.180
1.652 -8.487 2.684
W Cr La
1 2 1
Direct
0.500 0.500 0.750 W
0.000 0.000 0.535 Cr
0.000 0.000 0.965 Cr
0.500 0.500 0.250 La
```

Values from the calculation:
total energy	-8.62	eV/atom
Fermi-level density of states	4.38	states/eV/f.u.
V	67.74	Å³/f.u.
symmetry	Cmmm
M_tot	0.000	μB/cell

---

[18]
LaCrW2 | PBE | optimized geometry

The structure in POSCAR format:
```
LaCrW2
1.0
-2.640 -3.247 -2.130
0.072 -2.617 3.898
-2.660 1.480 1.042
W La Cr
2 1 1
Direct
0.500 0.500 0.000 W
0.000 0.000 0.000 W
0.000 0.500 0.500 La
0.500 0.000 0.500 Cr
```

Values from the calculation:
total energy	-9.05	eV/atom
Fermi-level density of states	3.84	states/eV/f.u.
V	70.95	Å³/f.u.
symmetry	P4/mmm
M_tot	0.491	μB/cell

---

[19]
LaCrW2 | PBE | optimized geometry

The structure in POSCAR format:
```
LaCrW2
1.0
3.194 0.000 0.000
0.000 3.194 0.000
0.000 0.000 7.691
La W Cr
1 2 1
Direct
0.500 0.500 0.756 La
0.000 0.000 0.059 W
0.500 0.500 0.252 W
0.000 0.000 0.433 Cr
```

Values from the calculation:
total energy	-9.62	eV/atom
Fermi-level density of states	3.76	states/eV/f.u.
V	78.45	Å³/f.u.
symmetry	P4mm
M_tot	2.292	μB/cell

---

[20]
La2Cr2W | PBE | optimized geometry

The structure in POSCAR format:
```
La2Cr2W
1.0
-2.019 2.019 6.495
2.019 -2.019 6.495
2.019 2.019 -6.495
Cr La W
2 2 1
Direct
0.431 0.431 0.000 Cr
0.569 0.569 0.000 Cr
0.750 0.250 0.500 La
0.250 0.750 0.500 La
0.000 0.000 0.000 W
```

Values from the calculation:
total energy	-7.12	eV/atom
Fermi-level density of states	7.24	states/eV/f.u.
V	105.86	Å³/f.u.
symmetry	I4/mmm
M_tot	0.002	μB/cell

---

[21]
LaCrW2 | PBE | optimized geometry

The structure in POSCAR format:
```
LaCrW2
1.0
-0.874 -2.436 3.344
0.347 -2.382 -1.645
6.398 -1.088 0.879
W Cr La
2 1 1
Direct
0.000 0.978 0.081 W
0.500 0.264 0.262 W
0.000 0.530 0.416 Cr
0.500 0.728 0.741 La
```

Values from the calculation:
total energy	-9.50	eV/atom
Fermi-level density of states	5.05	states/eV/f.u.
V	79.49	Å³/f.u.
symmetry	Pm
M_tot	0.002	μB/cell

---

[22]
LaCrW2 | PBE | optimized geometry

The structure in POSCAR format:
```
LaCrW2
1.0
-1.822 0.659 2.334
1.731 -1.697 1.831
6.239 4.749 3.531
Cr W La
1 2 1
Direct
0.500 0.250 0.250 Cr
0.000 0.569 0.432 W
0.000 0.931 0.068 W
0.500 0.750 0.750 La
```

Values from the calculation:
total energy	-9.57	eV/atom
Fermi-level density of states	4.32	states/eV/f.u.
V	74.16	Å³/f.u.
symmetry	P4/mmm
M_tot	0.000	μB/cell

---

[23]
LaCr2W | PBE | optimized geometry

The structure in POSCAR format:
```
LaCr2W
1.0
0.120 -4.456 0.965
0.820 -1.388 4.266
-3.339 -1.890 2.465
La Cr W
1 2 1
Direct
0.000 0.000 0.000 La
0.750 0.750 0.750 Cr
0.250 0.250 0.250 Cr
0.500 0.500 0.500 W
```

Values from the calculation:
total energy	-8.53	eV/atom
Fermi-level density of states	5.52	states/eV/f.u.
V	67.06	Å³/f.u.
symmetry	Fm-3m
M_tot	0.605	μB/cell

---

[24]
LaCrW2 | PBE | optimized geometry

The structure in POSCAR format:
```
LaCrW2
1.0
-3.711 2.723 -3.435
-4.426 -2.579 -2.597
2.496 0.478 5.150
W La Cr
2 1 1
Direct
0.500 0.500 0.000 W
0.000 0.000 0.000 W
0.750 0.250 0.500 La
0.250 0.750 0.500 Cr
```

Values from the calculation:
total energy	-9.10	eV/atom
Fermi-level density of states	4.61	states/eV/f.u.
V	74.27	Å³/f.u.
symmetry	I4/mmm
M_tot	0.061	μB/cell

---

[25]
LaCr2W | PBE | optimized geometry

The structure in POSCAR format:
```
LaCr2W
1.0
5.799 -0.003 0.004
3.188 4.844 -0.004
-3.947 -3.436 2.500
W Cr La
1 2 1
Direct
0.246 0.746 0.500 W
0.788 0.288 0.500 Cr
0.944 0.944 0.000 Cr
0.522 0.522 0.000 La
```

Values from the calculation:
total energy	-8.51	eV/atom
Fermi-level density of states	4.22	states/eV/f.u.
V	70.19	Å³/f.u.
symmetry	Imm2
M_tot	0.001	μB/cell

---

[26]
LaCrW2 | PBE | optimized geometry

The structure in POSCAR format:
```
LaCrW2
1.0
-2.641 1.377 3.596
0.684 -1.838 4.237
1.860 2.603 3.401
W La Cr
2 1 1
Direct
0.000 0.000 0.000 W
0.250 0.250 0.250 W
0.750 0.750 0.750 La
0.500 0.500 0.500 Cr
```

Values from the calculation:
total energy	-9.36	eV/atom
Fermi-level density of states	4.41	states/eV/f.u.
V	71.98	Å³/f.u.
symmetry	F-43m
M_tot	0.965	μB/cell

---

[27]
LaCrW2 | PBE | optimized geometry

The structure in POSCAR format:
```
LaCrW2
1.0
-3.064 0.180 4.041
3.010 -0.905 2.322
0.803 3.799 0.439
W Cr La
2 1 1
Direct
0.000 0.500 0.500 W
0.000 0.000 0.000 W
0.500 0.500 0.000 Cr
0.500 0.000 0.500 La
```

Values from the calculation:
total energy	-9.14	eV/atom
Fermi-level density of states	4.21	states/eV/f.u.
V	77.48	Å³/f.u.
symmetry	P4/mmm
M_tot	2.857	μB/cell

---

[28]
LaCr2W | PBE | optimized geometry

The structure in POSCAR format:
```
LaCr2W
1.0
9.251 -0.021 -0.012
8.743 3.025 -0.012
8.743 1.460 2.649
W Cr La
1 2 1
Direct
0.750 0.750 0.750 W
0.485 0.485 0.485 Cr
0.015 0.015 0.015 Cr
0.250 0.250 0.250 La
```

Values from the calculation:
total energy	-8.48	eV/atom
Fermi-level density of states	4.09	states/eV/f.u.
V	74.96	Å³/f.u.
symmetry	R-3m
M_tot	3.993	μB/cell

---

[29]
LaCrW2 | PBE | optimized geometry

The structure in POSCAR format:
```
LaCrW2
1.0
2.846 -0.016 0.000
-1.083 2.632 0.000
0.000 0.000 9.587
La W Cr
1 2 1
Direct
0.500 0.500 0.750 La
0.000 0.000 0.455 W
0.000 0.000 0.045 W
0.500 0.500 0.250 Cr
```

Values from the calculation:
total energy	-9.55	eV/atom
Fermi-level density of states	3.75	states/eV/f.u.
V	71.66	Å³/f.u.
symmetry	Cmmm
M_tot	0.000	μB/cell